No. 1
VASP calculation (GGA-PBE) on a relaxed structure of PuH6Rh3.

Properties
* uncorrected energy: -5.68 eV per atom
* symmetry: P2_1/m
* calculated density: 11.2 g/cm3

Cell: 6.7944 3.1947 7.9785 Å, 90.00 106.11 90.00°
Closest atoms and distances in Å follow each position.
Fractional coordinates of all 20 atoms:
Pu 0.1227 0.2500 0.0663  5 H 2.33-2.56, 2 Pu 2.34
Pu 0.8773 0.7500 0.9337  5 H 2.33-2.56, 2 Pu 2.34
H 0.0572 0.2500 0.4406  4 Rh 1.85-1.88, 1 H 2.04
H 0.1439 0.7500 0.8030  3 Rh 1.92-1.93, 1 H 2.04
H 0.2230 0.7500 0.3203  3 Rh 1.86-1.90
H 0.3284 0.2500 0.7296  3 Rh 1.80-1.85
H 0.4153 0.7500 0.0631  3 Rh 1.88-1.95, 1 H 2.04
H 0.4258 0.7500 0.5958  2 Rh 1.76-1.87
H 0.5742 0.2500 0.4042  2 Rh 1.76-1.87
H 0.5847 0.2500 0.9369  3 Rh 1.88-1.95, 1 H 2.04
H 0.6716 0.7500 0.2704  3 Rh 1.80-1.85
H 0.7770 0.2500 0.6797  3 Rh 1.86-1.90
H 0.8561 0.2500 0.1970  3 Rh 1.92-1.93, 1 H 2.04
H 0.9428 0.7500 0.5594  4 Rh 1.85-1.88, 1 H 2.04
Rh 0.0535 0.2500 0.6718  7 H 1.80-1.92
Rh 0.3251 0.2500 0.4289  4 H 1.76-1.86
Rh 0.4359 0.7500 0.8329  7 H 1.85-1.95
Rh 0.5641 0.2500 0.1671  7 H 1.85-1.95
Rh 0.6749 0.7500 0.5711  4 H 1.76-1.86
Rh 0.9465 0.7500 0.3282  7 H 1.80-1.92

=====

No. 2
VASP calculation (GGA-PBE) on a relaxed structure of AcGa2Sn.

Properties
* ΔE_f: -304 meV per atom
* symmetry: Fm-3m
* energy above the lowest structure with this stoichiometry: 0.176 eV per atom
* calculated density: 7.6 g/cm3

Cell: 5.3043 5.3043 5.3043 Å, 60.00 60.00 60.00°
Closest atoms and distances in Å follow each position.
Fractional coordinates of all 4 atoms:
Ac 0.0000 0.0000 0.0000  8 Ga 3.25
Ga 0.2500 0.2500 0.2500  4 Sn 3.25, 4 Ac 3.25
Ga 0.7500 0.7500 0.7500  4 Sn 3.25, 4 Ac 3.25
Sn 0.5000 0.5000 0.5000  8 Ga 3.25

=====

No. 3
VASP calculation (GGA-PBE) on a relaxed structure of BaCaNpN3.

Properties
* uncorrected energy: -7.89 eV per atom
* symmetry: P2_1/m
* calculated density: 6.2 g/cm3

Cell: 7.3011 3.6937 9.1430 Å, 90.00 97.56 90.00°
Closest atoms and distances in Å follow each position.
Fractional coordinates of all 12 atoms:
Ba 0.0951 0.2500 0.3250  5 N 2.83-2.96
Ba 0.9049 0.7500 0.6750  5 N 2.83-2.96
Ca 0.3090 0.2500 0.9325  4 N 2.35-2.63
Ca 0.6910 0.7500 0.0675  4 N 2.35-2.63
Np 0.4036 0.7500 0.6340  2 N 1.95-2.00
Np 0.5964 0.2500 0.3660  2 N 1.95-2.00
N 0.2145 0.2500 0.6450  2 Np 2.32
N 0.3816 0.7500 0.4134  1 Np 2.00
N 0.4645 0.7500 0.8487  1 Np 1.95
N 0.5355 0.2500 0.1513  1 Np 1.95
N 0.6184 0.2500 0.5866  1 Np 2.00
N 0.7855 0.7500 0.3550  2 Np 2.32

=====

No. 4
VASP calculation (GGA-PBE) on a relaxed structure of Zn3SiPd3.

Properties
* uncorrected energy: -3.95 eV per atom
* symmetry: R-3m
* calculated density: 8.2 g/cm3

Cell: 5.1850 5.1850 5.1850 Å, 108.85 108.85 108.85°
Closest atoms and distances in Å follow each position.
Fractional coordinates of all 7 atoms:
Zn 0.0000 0.5000 0.5000  6 Pd 2.59-2.67
Zn 0.5000 0.0000 0.5000  6 Pd 2.59-2.67
Zn 0.5000 0.5000 0.0000  6 Pd 2.59-2.67
Si 0.0000 0.0000 0.0000  6 Pd 2.59
Pd 0.0000 0.0000 0.5000  6 Zn 2.59-2.67, 2 Si 2.59
Pd 0.0000 0.5000 0.0000  2 Si 2.59, 6 Zn 2.59-2.67
Pd 0.5000 0.0000 0.0000  6 Zn 2.59-2.67, 2 Si 2.59

=====

No. 5
VASP calculation (GGA-PBE) on a relaxed structure of Pm4Mg3Pd2.

Properties
* ΔE_f: -385 meV per atom
* symmetry: C2/m
* calculated density: 6.1 g/cm3

Cell: 7.9480 7.9480 6.8948 Å, 104.50 104.50 34.06°
Closest atoms and distances in Å follow each position.
Fractional coordinates of all 9 atoms:
Pm 0.0743 0.0743 0.3414  2 Pd 2.97-3.02, 4 Mg 3.27-3.29
Pm 0.2760 0.2760 0.8055  3 Pd 2.85-3.15
Pm 0.7240 0.7240 0.1945  3 Pd 2.85-3.15
Pm 0.9257 0.9257 0.6586  2 Pd 2.97-3.02, 4 Mg 3.27-3.29
Mg 0.3966 0.3966 0.3139  2 Pd 2.87, 1 Mg 2.99
Mg 0.5000 0.5000 0.0000  2 Mg 2.99, 4 Pd 2.99, 6 Pm 3.29-3.32
Mg 0.6034 0.6034 0.6861  2 Pd 2.87, 1 Mg 2.99
Pd 0.1123 0.1123 0.9331  5 Pm 2.85-3.15, 4 Mg 2.87-2.99
Pd 0.8877 0.8877 0.0669  5 Pm 2.85-3.15, 4 Mg 2.87-2.99

=====

No. 6
VASP calculation (GGA-PBE) on a relaxed structure of TiHgPdN2.

Properties
* uncorrected energy: -4.05 eV per atom
* symmetry: P4/mmm
* calculated density: 7.4 g/cm3

Cell: 4.1227 4.1227 5.0250 Å, 90.00 90.00 90.00°
Closest atoms and distances in Å follow each position.
Fractional coordinates of all 5 atoms:
Ti 0.0000 0.0000 0.0000  4 Pd 2.92, 8 N 3.25
Hg 0.5000 0.5000 0.5000  4 N 2.06
Pd 0.5000 0.5000 0.0000  2 Hg 2.51
N 0.0000 0.5000 0.5000  2 Hg 2.06
N 0.5000 0.0000 0.5000  2 Hg 2.06

=====

No. 7
VASP calculation (GGA-PBE) on a relaxed structure of Li2InPH.

Properties
* symmetry: P4/mmm
* energy above the lowest structure with this stoichiometry: 0.654 eV per atom
* calculated density: 2.8 g/cm3

Cell: 5.1464 5.1464 3.5457 Å, 90.00 90.00 90.00°
Closest atoms and distances in Å follow each position.
Fractional coordinates of all 5 atoms:
Li 0.0000 0.5000 0.0000  2 In 2.57
Li 0.5000 0.0000 0.0000  2 In 2.57
In 0.0000 0.0000 0.0000  2 H 1.77
P 0.5000 0.5000 0.5000  8 Li 3.12
H 0.0000 0.0000 0.5000  2 In 1.77

=====

No. 8
VASP calculation (GGA-PBE) on a relaxed structure of Na5B7C3.

Properties
* ΔE_f: 155 meV per atom
* symmetry: P3m1
* energy above the lowest structure with this stoichiometry: 0.043 eV per atom
* calculated density: 2.4 g/cm3

Cell: 2.8943 2.8943 42.7118 Å, 90.00 90.00 120.00°
Closest atoms and distances in Å follow each position.
Fractional coordinates of all 30 atoms:
Na 0.0000 0.0000 0.0000  6 C 2.68-2.69, 6 B 2.68-2.69, 6 Na 2.89
Na 0.0000 0.0000 0.0984  6 C 2.68, 6 B 2.68, 6 Na 2.89
Na 0.0000 0.0000 0.1968  6 C 2.68, 6 B 2.68, 6 Na 2.89
Na 0.0000 0.0000 0.2955  9 B 2.70-2.74, 3 C 2.70, 6 Na 2.89
Na 0.0000 0.0000 0.3973  12 B 2.75, 6 Na 2.89
Na 0.0000 0.0000 0.4999  12 B 2.75, 6 Na 2.89
Na 0.0000 0.0000 0.6017  9 B 2.70-2.74, 3 C 2.70, 6 Na 2.89
Na 0.0000 0.0000 0.7005  6 C 2.68, 6 B 2.68-2.69, 6 Na 2.89
Na 0.0000 0.0000 0.7993  9 B 2.70-2.74, 3 C 2.71, 6 Na 2.89
Na 0.0000 0.0000 0.9010  9 B 2.71-2.74, 3 C 2.71, 6 Na 2.89
B 0.3333 0.6667 0.0493  3 C 1.67
B 0.3333 0.6667 0.2459  3 C 1.67
B 0.3333 0.6667 0.3463  3 B 1.67
B 0.3333 0.6667 0.4486  3 B 1.67
B 0.3333 0.6667 0.5509  3 B 1.67
B 0.3333 0.6667 0.6512  3 C 1.67
B 0.3333 0.6667 0.8502  3 B 1.67
B 0.6667 0.3333 0.1476  3 C 1.67
B 0.6667 0.3333 0.3463  3 B 1.67
B 0.6667 0.3333 0.4486  3 B 1.67
B 0.6667 0.3333 0.5509  3 B 1.67
B 0.6667 0.3333 0.7496  3 C 1.67
B 0.6667 0.3333 0.8502  3 B 1.67
B 0.6667 0.3333 0.9509  3 C 1.67
C 0.3333 0.6667 0.1476  3 B 1.67
C 0.3333 0.6667 0.7495  3 B 1.67
C 0.3333 0.6667 0.9509  3 B 1.67
C 0.6667 0.3333 0.0493  3 B 1.67
C 0.6667 0.3333 0.2459  3 B 1.67
C 0.6667 0.3333 0.6513  3 B 1.67

=====

Fermi-level density of states readings, ordered: 10.24, 2.56, 8.45, 2.64, 8.54, 6.92, 1.08, 6.84 states/eV per cell